# 1
This record from the Alexandria database describes crystalline YZrSn2 at its relaxed geometry. The functional is PBE.

a = 7.877 Å, b = 7.877 Å, c = 7.877 Å
α = 30.12°, β = 30.12°, γ = 30.12°
Element x y z (fractional)
Y 0.000 0.000 0.000
Zr 0.500 0.500 0.500
Sn 0.244 0.244 0.244
Sn 0.756 0.756 0.756

**Total magnetization**: 0.00 μB per formula unit
**E above lowest polymorph**: 0.0127 eV per atom
**ΔE_f**: -0.466 eV/atom
**Final energy**: -6.22 eV/atom

# 2
This record from the Alexandria database describes crystalline YZr3Sn at its relaxed geometry. The functional is PBE.

a = 5.364 Å, b = 5.364 Å, c = 5.364 Å
α = 90.00°, β = 90.00°, γ = 90.00°
Element x y z (fractional)
Y 0.000 0.000 0.000
Zr 0.000 0.500 0.500
Zr 0.500 0.000 0.500
Zr 0.500 0.500 0.000
Sn 0.500 0.500 0.500

**Total magnetization**: 0.00 μB per formula unit
**E above lowest polymorph**: 0.0000 eV per atom
**ΔE_f**: 0.613 eV/atom
**Final energy**: -6.61 eV/atom

# 3
This record from the Alexandria database describes crystalline YZr3Sn2 at its relaxed geometry. The functional is PBE.

a = 8.934 Å, b = 8.934 Å, c = 8.701 Å
α = 112.40°, β = 112.40°, γ = 28.02°
Element x y z (fractional)
Y 0.116 0.116 0.141
Y 0.884 0.884 0.859
Zr 0.063 0.063 0.679
Zr 0.308 0.308 0.108
Zr 0.369 0.369 0.509
Zr 0.631 0.631 0.491
Zr 0.692 0.692 0.892
Zr 0.937 0.937 0.321
Sn 0.245 0.245 0.703
Sn 0.487 0.487 0.154
Sn 0.513 0.513 0.846
Sn 0.755 0.755 0.297

**Total magnetization**: 0.00 μB per formula unit
**ΔE_f**: -0.403 eV/atom
**Final energy**: -7.09 eV/atom

# 4
This record from the Alexandria database describes crystalline YZrSn3 at its relaxed geometry. The functional is PBE.

a = 5.462 Å, b = 5.462 Å, c = 5.462 Å
α = 90.00°, β = 90.00°, γ = 90.00°
Element x y z (fractional)
Y 0.000 0.000 0.000
Zr 0.500 0.500 0.500
Sn 0.000 0.500 0.500
Sn 0.500 0.000 0.500
Sn 0.500 0.500 0.000

**Total magnetization**: 0.00 μB per formula unit
**E above lowest polymorph**: 0.0000 eV per atom
**ΔE_f**: 0.152 eV/atom
**Final energy**: -5.25 eV/atom